DFT (PBE-GGA) results for crystalline CaMg3Cd at its relaxed geometry.

Summary:
Total DFT energy (no corrections) in eV for the cell shown: -7.0
Formation enthalpy at 0 K in eV/atom: 0.130
Offset from the most stable computed form in meV/atom: 237.6
Spin magnetization in μB/f.u.: 0.0

The structure in CIF format:
```
data_CaMg3Cd
_cell_length_a 5.2968
_cell_length_b 5.2968
_cell_length_c 5.2968
_cell_angle_alpha 90.00
_cell_angle_beta 90.00
_cell_angle_gamma 90.00
_space_group_name_H-M_alt 'P m -3 m'
_space_group_IT_number 221
_space_group_name_Hall '-P 4 2 3'
loop_
_atom_site_label
_atom_site_fract_x
_atom_site_fract_y
_atom_site_fract_z
Ca1 0.0000 0.0000 0.0000
Mg1 0.0000 0.5000 0.5000
Cd1 0.5000 0.5000 0.5000
```